*a*
# PmS

An optimized crystal structure of PmS (GGA-PBE, the Open Quantum Materials Database).

Results
Crystal system: trigonal

Cell: 4.0224 4.0224 9.9029 Å, 90.00 90.00 120.00°
Space group R-3m (No. 166, hexagonal axes)
Inequivalent atoms, fractional coordinates:
Pm 0.0000 0.0000 0.0000 [3 per cell]
S 0.0000 0.0000 0.5000 [3 per cell]

*b*
# PmS

An optimized crystal structure of PmS (GGA-PBE, the Open Quantum Materials Database).

Results
Crystal system: cubic

Cell: 6.3038 6.3038 6.3038 Å, 90.00 90.00 90.00°
Space group F-43m (No. 216)
Inequivalent atoms, fractional coordinates:
Pm 0.0000 0.0000 0.0000 [4 per cell]
S 0.2500 0.2500 0.7500 [4 per cell]

*c*
# PmS

An optimized crystal structure of PmS (GGA-PBE, the Open Quantum Materials Database).

Results
Crystal system: hexagonal

Cell: 3.8481 3.8481 3.7053 Å, 90.00 90.00 120.00°
Space group P-6m2 (No. 187)
Inequivalent atoms, fractional coordinates:
Pm 0.0000 0.0000 0.0000 [1 per cell]
S 0.6667 0.3333 0.5000 [1 per cell]

How do the structures above rank in stability at the extremes? *a* comes first and *b* comes last.